[1]
# Mg2PRu

Mg2PRu after structural relaxation (PBE-GGA, Alexandria).

Unit cell a=8.764 b=8.764 c=8.764 alpha=20.29 beta=20.29 gamma=20.29
Fractional positions:
Mg: 0.000 0.000 0.000
Mg: 0.228 0.228 0.228
P: 0.476 0.476 0.476
Ru: 0.752 0.752 0.752

**E_form**: -0.2163 eV per atom

[2]
# CePm4Rh5

CePm4Rh5 after structural relaxation (PBE-GGA, Alexandria).

Unit cell a=3.496 b=3.496 c=17.734 alpha=90.00 beta=90.00 gamma=90.00
Fractional positions:
Ce: 0.000 0.000 0.000
Pm: 0.000 0.000 0.199
Pm: 0.000 0.000 0.400
Pm: 0.000 0.000 0.600
Pm: 0.000 0.000 0.801
Rh: 0.500 0.500 0.090
Rh: 0.500 0.500 0.299
Rh: 0.500 0.500 0.500
Rh: 0.500 0.500 0.701
Rh: 0.500 0.500 0.910

**E_form**: -0.6860 eV per atom

[3]
# BaHg2Te

BaHg2Te after structural relaxation (PBE-GGA, Alexandria).

Unit cell a=7.673 b=7.663 c=4.837 alpha=71.72 beta=71.51 gamma=36.77
Fractional positions:
Ba: 0.000 0.000 0.000
Hg: 0.000 0.500 0.000
Hg: 0.500 0.000 0.500
Te: 0.500 0.500 0.500

**E_form (uncorrected)**: -0.724 eV per atom

| no. | N(E_F) (states/eV per cell) | total magnetization (μB/cell) |
| --- | --- | --- |
| 1 | 1.0 | 0.0 |
| 2 | 9.5 | 0.0 |
| 3 | 0.3 | 0.0 |